Na3Mg2Mo3O12 | GGA+U | optimized geometry

Lattice parameters (Å, degrees): 9.240 9.240 7.197 105.62 105.62 94.78
Element x y z (fractional)
1 Na 0.000 0.000 0.000
2 Na 0.000 0.000 0.500
3 Na 0.239 0.761 0.750
4 Na 0.463 0.537 0.250
5 Na 0.537 0.463 0.750
6 Na 0.761 0.239 0.250
7 Mg 0.126 0.444 0.872
8 Mg 0.444 0.126 0.372
9 Mg 0.556 0.874 0.628
10 Mg 0.874 0.556 0.128
11 Mo 0.157 0.377 0.374
12 Mo 0.219 0.781 0.250
13 Mo 0.377 0.157 0.874
14 Mo 0.623 0.843 0.126
15 Mo 0.781 0.219 0.750
16 Mo 0.843 0.623 0.626
17 O 0.022 0.758 0.272
18 O 0.033 0.203 0.308
19 O 0.094 0.456 0.164
20 O 0.151 0.494 0.615
21 O 0.203 0.033 0.808
22 O 0.242 0.978 0.228
23 O 0.265 0.653 0.028
24 O 0.335 0.349 0.902
25 O 0.347 0.735 0.472
26 O 0.349 0.335 0.402
27 O 0.456 0.094 0.664
28 O 0.494 0.151 0.115
29 O 0.506 0.849 0.885
30 O 0.544 0.906 0.336
31 O 0.651 0.665 0.598
32 O 0.653 0.265 0.528
33 O 0.665 0.651 0.098
34 O 0.735 0.347 0.972
35 O 0.758 0.022 0.772
36 O 0.797 0.967 0.192
37 O 0.849 0.506 0.385
38 O 0.906 0.544 0.836
39 O 0.967 0.797 0.692
40 O 0.978 0.242 0.728

symmetry: C2/c (15)
E: -6.3327 eV/atom